DFT (PBE with a Hubbard U) results for a geometry-optimized CsCaMn2F8 structure.

Output
* DFT total energy: -5.53 eV/atom
* total magnetization: 9.00 μB per formula unit
* space-group type: P-3, No. 147
* ρ: 2.82 g/cm3

Lattice parameters (Å, degrees): 5.932 5.932 8.412 90.00 90.00 120.00
Atoms (fractional coordinates):
Cs: 0.000 0.000 0.000
Ca: 0.000 0.000 0.500
Mn: 0.333 0.667 0.736
Mn: 0.667 0.333 0.264
F: 0.061 0.322 0.668
F: 0.261 0.939 0.668
F: 0.322 0.261 0.332
F: 0.333 0.667 0.957
F: 0.667 0.333 0.043
F: 0.678 0.739 0.668
F: 0.739 0.061 0.332
F: 0.939 0.678 0.332